# La3Nd3Er PBE-GGA relaxed
data_La3Nd3Er
_chemical_formula_sum 'La6 Nd6 Er2'
_space_group_name_H-M_alt 'P 1'
_space_group_IT_number 1
_space_group_name_Hall 'P 1'
_cell_length_a 5.932
_cell_length_b 9.870
_cell_length_c 9.870
_cell_angle_alpha 120.00
_cell_angle_beta 90.00
_cell_angle_gamma 90.00
loop_
_atom_site_label
_atom_site_fract_x
_atom_site_fract_y
_atom_site_fract_z
Nd1 0.750 0.615 0.096
Nd2 0.250 0.096 0.481
Nd3 0.750 0.904 0.519
Nd4 0.750 0.481 0.385
Nd5 0.250 0.519 0.615
Nd6 0.250 0.385 0.904
Er1 0.250 0.667 0.333
Er2 0.750 0.333 0.667
La1 0.250 0.243 0.195
La2 0.750 0.047 0.243
La3 0.750 0.195 0.953
La4 0.750 0.757 0.805
La5 0.250 0.953 0.757
La6 0.250 0.805 0.047
# **ΔH_f (0 K)**: 0.70 kcal/mol of atoms
# **N(E_F)**: 23.5 states/eV per cell
# **SG**: No. 176
# **Energy above the most stable polymorph in this dataset**: 0 meV/atom